No. 1
PBE-GGA SmErZnRu, optimized geometry; crystal system = orthorhombic; offset from the most stable computed form = 17 meV/atom; symmetry = Amm2 (38)
1.0
3.960 0.000 0.000
0.000 4.293 0.000
-1.980 0.000 5.314
Ru Sm Zn Er
1 1 1 1
Direct
0.576 0.500 0.152
0.854 0.500 0.709
0.432 0.000 0.864
0.137 0.000 0.275



No. 2
PBE-GGA Nd3Zr, optimized geometry; crystal system = orthorhombic; offset from the most stable computed form = 17 meV/atom; symmetry = Imm2 (44)
1.0
3.536 0.000 0.000
0.000 6.161 0.000
-1.768 -3.081 5.806
Nd Zr
3 1
Direct
0.261 0.598 0.523
0.500 0.490 0.000
0.739 0.076 0.477
0.000 0.003 0.000



One value per record, in order, for calculated volume: 22.6; 31.6 Å³/atom.
One value per record, in order, for formation enthalpy at 0 K: -0.307; 0.159 eV/atom.